i) Ru5Cl4: optimized geometry, GGA-PBE.

Calculated values
Total magnetic moment (μB/f.u.): 1.82
Mass density (g/cm³): 7.2
V (A^3/atom): 16.7

Unit cell a=7.351 b=7.351 c=7.351 alpha=92.21 beta=92.21 gamma=157.36
Sites, in units of the cell vectors:
Ru  0.000  0.000  0.000
Ru  0.347  0.347  0.694
Ru  0.347  0.653  0.000
Ru  0.653  0.347  0.000
Ru  0.653  0.653  0.306
Cl  0.000  0.292  0.292
Cl  0.000  0.708  0.708
Cl  0.292  0.000  0.292
Cl  0.708  0.000  0.708

---

ii) Ru5Cl4: optimized geometry, GGA-PBE.

Calculated values
Total magnetic moment (μB/f.u.): 2.68
Mass density (g/cm³): 7.5
V (A^3/atom): 16.0

Unit cell a=7.120 b=7.120 c=6.544 alpha=90.00 beta=90.00 gamma=120.00
Sites, in units of the cell vectors:
Ru  0.000  0.349  0.250
Ru  0.000  0.651  0.750
Ru  0.333  0.667  0.000
Ru  0.333  0.667  0.500
Ru  0.349  0.000  0.250
Ru  0.349  0.349  0.750
Ru  0.651  0.000  0.750
Ru  0.651  0.651  0.250
Ru  0.667  0.333  0.000
Ru  0.667  0.333  0.500
Cl  0.000  0.000  0.000
Cl  0.000  0.000  0.500
Cl  0.000  0.340  0.750
Cl  0.000  0.660  0.250
Cl  0.340  0.000  0.750
Cl  0.340  0.340  0.250
Cl  0.660  0.000  0.250
Cl  0.660  0.660  0.750

---

Least stable = ii)

---

i) RuCl5: optimized geometry, GGA-PBE.

Calculated values
Total magnetic moment (μB/f.u.): 2.97
Mass density (g/cm³): 2.6
V (A^3/atom): 29.7

Unit cell a=7.307 b=7.307 c=8.642 alpha=106.72 beta=106.72 gamma=54.81
Sites, in units of the cell vectors:
Ru  0.000  0.000  0.000
Ru  0.000  0.000  0.500
Cl  0.021  0.309  0.631
Cl  0.163  0.837  0.750
Cl  0.189  0.636  0.047
Cl  0.309  0.021  0.131
Cl  0.364  0.811  0.453
Cl  0.636  0.189  0.547
Cl  0.691  0.979  0.869
Cl  0.811  0.364  0.953
Cl  0.837  0.163  0.250
Cl  0.979  0.691  0.369

---

ii) RuCl5: optimized geometry, GGA-PBE.

Calculated values
Total magnetic moment (μB/f.u.): 2.99
Mass density (g/cm³): 3.0
V (A^3/atom): 25.7

Unit cell a=2.940 b=2.940 c=17.840 alpha=90.00 beta=90.00 gamma=90.00
Sites, in units of the cell vectors:
Ru  0.000  0.000  0.000
Cl  0.000  0.000  0.277
Cl  0.000  0.000  0.723
Cl  0.500  0.500  0.090
Cl  0.500  0.500  0.500
Cl  0.500  0.500  0.910

---

iii) RuCl5: optimized geometry, GGA-PBE.

Calculated values
Total magnetic moment (μB/f.u.): 1.01
Mass density (g/cm³): 2.5
V (A^3/atom): 31.0

Unit cell a=6.610 b=6.610 c=9.828 alpha=122.31 beta=122.31 gamma=31.41
Sites, in units of the cell vectors:
Ru  0.000  0.000  0.000
Cl  0.025  0.025  0.244
Cl  0.350  0.350  0.897
Cl  0.397  0.397  0.629
Cl  0.448  0.448  0.468
Cl  0.640  0.640  0.065

---

Least stable = ii)

---

i) RuSCl3: optimized geometry, GGA-PBE.

Calculated values
Total magnetic moment (μB/f.u.): 3.18
Mass density (g/cm³): 3.4
V (A^3/atom): 23.5

Unit cell a=4.897 b=4.897 c=4.897 alpha=90.00 beta=90.00 gamma=90.00
Sites, in units of the cell vectors:
Ru  0.000  0.000  0.000
S  0.500  0.500  0.500
Cl  0.000  0.500  0.500
Cl  0.500  0.000  0.500
Cl  0.500  0.500  0.000

---

ii) RuSCl3: optimized geometry, GGA-PBE.

Calculated values
Total magnetic moment (μB/f.u.): 0.00
Mass density (g/cm³): 3.1
V (A^3/atom): 25.4

Unit cell a=7.752 b=7.752 c=6.026 alpha=110.24 beta=110.24 gamma=114.32
Sites, in units of the cell vectors:
Ru  0.077  0.923  0.500
Ru  0.923  0.077  0.000
S  0.028  0.629  0.199
S  0.629  0.028  0.699
Cl  0.025  0.415  0.369
Cl  0.153  0.280  0.869
Cl  0.280  0.153  0.369
Cl  0.415  0.025  0.869
Cl  0.743  0.860  0.158
Cl  0.860  0.743  0.658

---

Least stable = i)